Version a
This record from Alexandria describes CrCuSiF2 after structural relaxation. The functional is PBE with a Hubbard U.

a = 3.7844 Å, b = 3.7844 Å, c = 6.1210 Å
α = 90.00°, β = 90.00°, γ = 90.00°
With the nearest neighbours (Å) after each atom.
Space group P4/mmm (No. 123)
Inequivalent atoms, fractional coordinates:
Cr (0.0000, 0.0000, 0.0000)  4 F 1.89
Cu (0.0000, 0.0000, 0.5000)  4 Si 2.68
Si (0.5000, 0.5000, 0.5000)  4 Cu 2.68
F (0.0000, 0.5000, 0.0000)  2 Cr 1.89

## Properties
crystal system	tetragonal
total magnetization	0.7176	μB/atom


Version b
This record from Alexandria describes CrCuSiF2 after structural relaxation. The functional is PBE with a Hubbard U.

a = 3.8214 Å, b = 3.8214 Å, c = 5.5570 Å
α = 90.00°, β = 90.00°, γ = 90.00°
With the nearest neighbours (Å) after each atom.
Space group P4/mmm (No. 123)
Inequivalent atoms, fractional coordinates:
Cr (0.0000, 0.0000, 0.0000)  4 Cu 2.70, 2 Si 2.78
Cu (0.5000, 0.5000, 0.0000)  4 Cr 2.70
Si (0.0000, 0.0000, 0.5000)  4 F 1.91
F (0.0000, 0.5000, 0.5000)  2 Si 1.91

## Properties
crystal system	tetragonal
total magnetization	0.9726	μB/atom


Pick the most stable structure from those above. Pick: version a